# 1
DFT (PBE) results for ErGe2Bi2Pt7 after structural relaxation.

Values from the calculation:
- N(E_F): 5.424 states/eV/f.u.
- ΔE_f: -7.060 eV per formula unit

Lattice parameters (Å, degrees): 5.6834 5.6805 15.7287 90.00 100.34 90.00
Space group C2/m (No. 12)
Unique sites:
Er  0.0000  0.0000  0.0000 [2 per cell]
Ge  0.1163  0.5000  0.2361 [4 per cell]
Bi  0.2105  0.0000  0.4214 [4 per cell]
Pt  0.0000  0.5000  0.0000 [2 per cell]
Pt  0.1812  0.2498  0.8608 [8 per cell]
Pt  0.1976  0.5000  0.3946 [4 per cell]

# 2
DFT (PBE) results for Zr4Tc7Ge6 after structural relaxation.

Values from the calculation:
- N(E_F): 13.839 states/eV/f.u.
- ΔE_f: -7.575 eV per formula unit

Lattice parameters (Å, degrees): 8.2612 8.2612 8.2612 90.00 90.00 90.00
Space group Im-3m (No. 229)
Unique sites:
Zr  0.2500  0.2500  0.2500 [8 per cell]
Tc  0.0000  0.0000  0.0000 [2 per cell]
Tc  0.0000  0.2500  0.5000 [12 per cell]
Ge  0.0000  0.0000  0.3063 [12 per cell]

# 3
DFT (PBE) results for PmYTh2Se4 after structural relaxation.

Values from the calculation:
- N(E_F): 5.119 states/eV/f.u.
- Uncorrected formation energy: -1.66 eV per atom

Lattice parameters (Å, degrees): 7.0923 4.1599 7.3752 90.00 109.20 90.00
Space group P2/m (No. 10)
Unique sites:
Pm  0.0000  0.0000  0.0000 [1 per cell]
Y  0.5000  0.5000  0.0000 [1 per cell]
Th  0.0000  0.5000  0.5000 [1 per cell]
Th  0.5000  0.0000  0.5000 [1 per cell]
Se  0.2520  0.5000  0.2420 [2 per cell]
Se  0.2579  0.0000  0.7610 [2 per cell]

# 4
DFT (PBE) results for Tm5Zn4Rh after structural relaxation.

Values from the calculation:
- N(E_F): 6.773 states/eV/f.u.
- ΔE_f: -4.830 eV per formula unit

Lattice parameters (Å, degrees): 3.4955 3.4955 17.4277 90.00 90.00 90.00
Space group P4/mmm (No. 123)
Unique sites:
Tm  0.0000  0.0000  0.0000 [1 per cell]
Tm  0.0000  0.0000  0.2031 [2 per cell]
Tm  0.0000  0.0000  0.4080 [2 per cell]
Zn  0.5000  0.5000  0.1021 [2 per cell]
Zn  0.5000  0.5000  0.3026 [2 per cell]
Rh  0.5000  0.5000  0.5000 [1 per cell]

# 5
DFT (PBE) results for Ta2AlSi after structural relaxation.

Values from the calculation:
- N(E_F): 2.663 states/eV/f.u.
- Energy relative to the lowest polymorph listed for this composition: 204 meV/atom
- Uncorrected formation energy: -0.03 eV per atom

Lattice parameters (Å, degrees): 3.5713 4.4815 8.3257 90.00 90.00 90.00
Space group Cmm2 (No. 35)
Unique sites:
Ta  0.0000  0.0000  0.0000 [2 per cell]
Ta  0.0000  0.5000  0.2759 [2 per cell]
Al  0.0000  0.5000  0.7460 [2 per cell]
Si  0.0000  0.0000  0.5052 [2 per cell]

# 6
DFT (PBE) results for BeSiSb after structural relaxation.

Values from the calculation:
- N(E_F): 0.189 states/eV/f.u.
- Energy relative to the lowest polymorph listed for this composition: 10 meV/atom
- Uncorrected formation energy: 0.20 eV per atom

Lattice parameters (Å, degrees): 11.2461 4.1015 6.1975 90.00 123.06 90.00
Space group C2/m (No. 12)
Unique sites:
Be  0.0534  0.0000  0.2039 [4 per cell]
Si  0.2076  0.0000  0.0494 [4 per cell]
Sb  0.1062  0.5000  0.4472 [4 per cell]

# 7
DFT (PBE) results for OsAuIO2 after structural relaxation.

Values from the calculation:
- N(E_F): 4.552 states/eV/f.u.
- Energy relative to the lowest polymorph listed for this composition: 1518 meV/atom
- Uncorrected formation energy: 1.26 eV per atom

Lattice parameters (Å, degrees): 3.8963 3.8963 7.5149 90.00 90.00 90.00
Space group P4/mmm (No. 123)
Unique sites:
Os  0.0000  0.0000  0.0000 [1 per cell]
Au  0.5000  0.5000  0.5000 [1 per cell]
I  0.5000  0.5000  0.0000 [1 per cell]
O  0.0000  0.5000  0.5000 [2 per cell]

# 8
DFT (PBE) results for K2TcPtC after structural relaxation.

Values from the calculation:
- N(E_F): 4.165 states/eV/f.u.
- ΔE_f: 5.553 eV per formula unit

Lattice parameters (Å, degrees): 5.7487 5.7487 3.8868 90.00 90.00 90.00
Space group P4/mmm (No. 123)
Unique sites:
K  0.0000  0.5000  0.0000 [2 per cell]
Tc  0.0000  0.0000  0.5000 [1 per cell]
Pt  0.5000  0.5000  0.5000 [1 per cell]
C  0.0000  0.0000  0.0000 [1 per cell]

# 9
DFT (PBE) results for Na2ZrPt after structural relaxation.

Values from the calculation:
- N(E_F): 4.425 states/eV/f.u.
- Energy relative to the lowest polymorph listed for this composition: 112 meV/atom
- ΔE_f: 2.015 eV per formula unit

Lattice parameters (Å, degrees): 6.8142 6.8142 6.8142 90.00 90.00 90.00
Space group Fm-3m (No. 225)
Unique sites:
Na  0.2500  0.2500  0.2500 [8 per cell]
Zr  0.0000  0.0000  0.0000 [4 per cell]
Pt  0.0000  0.0000  0.5000 [4 per cell]

# 10
DFT (PBE) results for NaSc4 after structural relaxation.

Values from the calculation:
- N(E_F): 10.679 states/eV/f.u.
- ΔE_f: 4.703 eV per formula unit

Lattice parameters (Å, degrees): 5.1624 5.1624 5.1624 90.00 90.00 90.00
Space group Pm-3m (No. 221)
Unique sites:
Na  0.0000  0.0000  0.0000 [1 per cell]
Sc  0.0000  0.0000  0.5000 [3 per cell]
Sc  0.5000  0.5000  0.5000 [1 per cell]

# 11
DFT (PBE) results for Ba3Pm4S8 after structural relaxation.

Values from the calculation:
- N(E_F): 4.400 states/eV/f.u.
- Uncorrected formation energy: -1.97 eV per atom

Lattice parameters (Å, degrees): 12.0287 12.0506 8.3826 90.00 133.85 90.00
Space group C2/m (No. 12)
Unique sites:
Ba  0.0000  0.0000  0.0000 [2 per cell]
Ba  0.2500  0.2500  0.0000 [4 per cell]
Pm  0.0000  0.5000  0.0000 [2 per cell]
Pm  0.0000  0.5000  0.5000 [2 per cell]
Pm  0.2500  0.2500  0.5000 [4 per cell]
S  0.0000  0.2613  0.0000 [4 per cell]
S  0.0000  0.2633  0.5000 [4 per cell]
S  0.2169  0.5000  0.9635 [4 per cell]
S  0.2302  0.5000  0.4794 [4 per cell]

# 12
DFT (PBE) results for U2ZnIr after structural relaxation.

Values from the calculation:
- N(E_F): 8.966 states/eV/f.u.
- ΔE_f: 0.968 eV per formula unit

Lattice parameters (Å, degrees): 2.8404 2.8404 33.6617 90.00 90.00 120.00
Space group R-3m (No. 166, hexagonal axes)
Unique sites:
U  0.0000  0.0000  0.0915 [6 per cell]
Zn  0.0000  0.0000  0.0000 [3 per cell]
Ir  0.0000  0.0000  0.5000 [3 per cell]

# 13
DFT (PBE) results for NaAcHgBi after structural relaxation.

Values from the calculation:
- N(E_F): 2.423 states/eV/f.u.
- ΔE_f: -2.061 eV per formula unit

Lattice parameters (Å, degrees): 8.0012 8.0012 8.0012 90.00 90.00 90.00
Space group F-43m (No. 216)
Unique sites:
Na  0.0000  0.0000  0.0000 [4 per cell]
Ac  0.0000  0.0000  0.5000 [4 per cell]
Hg  0.2500  0.2500  0.7500 [4 per cell]
Bi  0.2500  0.2500  0.2500 [4 per cell]

# 14
DFT (PBE) results for Hf3Re2Pd after structural relaxation.

Values from the calculation:
- N(E_F): 2.250 states/eV/f.u.
- ΔE_f: -3.166 eV per formula unit

Lattice parameters (Å, degrees): 3.3001 3.3001 9.8451 90.00 90.00 90.00
Space group P4/mmm (No. 123)
Unique sites:
Hf  0.0000  0.0000  0.0000 [1 per cell]
Hf  0.0000  0.0000  0.3238 [2 per cell]
Re  0.5000  0.5000  0.1705 [2 per cell]
Pd  0.5000  0.5000  0.5000 [1 per cell]

# 15
DFT (PBE) results for Y2HCl after structural relaxation.

Values from the calculation:
- N(E_F): 1.884 states/eV/f.u.
- Energy relative to the lowest polymorph listed for this composition: 600 meV/atom

Lattice parameters (Å, degrees): 6.7034 6.7034 6.7034 90.00 90.00 90.00
Space group Fm-3m (No. 225)
Unique sites:
Y  0.2500  0.2500  0.2500 [8 per cell]
H  0.0000  0.0000  0.0000 [4 per cell]
Cl  0.0000  0.0000  0.5000 [4 per cell]

# 16
DFT (PBE) results for HfTcTe2 after structural relaxation.

Values from the calculation:
- N(E_F): 4.809 states/eV/f.u.
- Energy relative to the lowest polymorph listed for this composition: 249 meV/atom
- Uncorrected formation energy: 0.26 eV per atom

Lattice parameters (Å, degrees): 4.8643 4.8643 16.9161 90.00 90.00 90.00
Space group I-42d (No. 122)
Unique sites:
Hf  0.0000  0.0000  0.0000 [4 per cell]
Tc  0.0000  0.0000  0.5000 [4 per cell]
Te  0.2205  0.2500  0.6250 [8 per cell]

# 17
DFT (PBE) results for Na3TeOs after structural relaxation.

Values from the calculation:
- N(E_F): 0.000 states/eV/f.u.
- Uncorrected formation energy: 0.95 eV per atom

Lattice parameters (Å, degrees): 5.6204 5.6204 5.6204 90.00 90.00 90.00
Space group Pm-3m (No. 221)
Unique sites:
Na  0.0000  0.0000  0.5000 [3 per cell]
Te  0.5000  0.5000  0.5000 [1 per cell]
Os  0.0000  0.0000  0.0000 [1 per cell]

# 18
DFT (PBE) results for Nd6Ge3O after structural relaxation.

Values from the calculation:
- N(E_F): 8.396 states/eV/f.u.
- Uncorrected formation energy: -1.03 eV per atom

Lattice parameters (Å, degrees): 6.5333 7.9328 12.0613 90.00 122.06 90.00
Space group P2_1/c (No. 14)
Unique sites:
Nd  0.0961  0.0468  0.2353 [4 per cell]
Nd  0.1986  0.7054  0.0608 [4 per cell]
Nd  0.3866  0.1632  0.0578 [4 per cell]
Ge  0.3176  0.1104  0.7476 [4 per cell]
Ge  0.5000  0.0000  0.5000 [2 per cell]
O  0.0000  0.0000  0.0000 [2 per cell]

# 19
DFT (PBE) results for NdTmSbTe after structural relaxation.

Values from the calculation:
- N(E_F): 1.826 states/eV/f.u.
- Uncorrected formation energy: -1.26 eV per atom

Lattice parameters (Å, degrees): 4.4105 4.4105 21.7823 90.00 90.00 120.00
Space group R3m (No. 160, hexagonal axes)
Unique sites:
Nd  0.0000  0.0000  0.0000 [3 per cell]
Tm  0.0000  0.0000  0.5074 [3 per cell]
Sb  0.0000  0.0000  0.2489 [3 per cell]
Te  0.0000  0.0000  0.7585 [3 per cell]

# 20
DFT (PBE) results for TbHo2SnN4 after structural relaxation.

Values from the calculation:
- N(E_F): 4.644 states/eV/f.u.
- Uncorrected formation energy: -1.09 eV per atom

Lattice parameters (Å, degrees): 5.9898 3.4660 6.0128 90.00 109.58 90.00
Space group P2/m (No. 10)
Unique sites:
Tb  0.0000  0.0000  0.0000 [1 per cell]
Ho  0.0000  0.5000  0.5000 [1 per cell]
Ho  0.5000  0.0000  0.5000 [1 per cell]
Sn  0.5000  0.5000  0.0000 [1 per cell]
N  0.2434  0.0000  0.7406 [2 per cell]
N  0.2468  0.5000  0.2576 [2 per cell]

# 21
DFT (PBE) results for Pr2Ga4Cu3Ni after structural relaxation.

Values from the calculation:
- N(E_F): 6.681 states/eV/f.u.
- ΔE_f: -4.584 eV per formula unit

Lattice parameters (Å, degrees): 4.2310 4.2310 10.1005 90.00 90.00 90.00
Space group P-4m2 (No. 115)
Unique sites:
Pr  0.0000  0.5000  0.2426 [2 per cell]
Ga  0.0000  0.0000  0.5000 [1 per cell]
Ga  0.0000  0.5000  0.8785 [2 per cell]
Ga  0.5000  0.5000  0.5000 [1 per cell]
Cu  0.0000  0.0000  0.0000 [1 per cell]
Cu  0.0000  0.5000  0.6346 [2 per cell]
Ni  0.5000  0.5000  0.0000 [1 per cell]

# 22
DFT (PBE) results for Au3C after structural relaxation.

Values from the calculation:
- N(E_F): 1.055 states/eV/f.u.
- Energy relative to the lowest polymorph listed for this composition: 416 meV/atom
- ΔE_f: 3.902 eV per formula unit

Lattice parameters (Å, degrees): 4.1725 4.1725 18.5656 90.00 90.00 90.00
Space group I4/mmm (No. 139)
Unique sites:
Au  0.0000  0.0000  0.1042 [4 per cell]
Au  0.0000  0.5000  0.0000 [4 per cell]
Au  0.0000  0.5000  0.2500 [4 per cell]
C  0.0000  0.0000  0.2140 [4 per cell]

# 23
DFT (PBE) results for Ca2SiW after structural relaxation.

Values from the calculation:
- N(E_F): 3.697 states/eV/f.u.
- Uncorrected formation energy: 0.58 eV per atom

Lattice parameters (Å, degrees): 2.9285 4.6376 6.1795 90.00 90.00 90.00
Space group Pmmm (No. 47)
Unique sites:
Ca  0.0000  0.0000  0.2435 [2 per cell]
Si  0.5000  0.5000  0.0000 [1 per cell]
W  0.5000  0.5000  0.5000 [1 per cell]

# 24
DFT (PBE) results for CaDyAgRh after structural relaxation.

Values from the calculation:
- N(E_F): 2.265 states/eV/f.u.
- Energy relative to the lowest polymorph listed for this composition: 0 meV/atom
- ΔE_f: -2.051 eV per formula unit

Lattice parameters (Å, degrees): 3.4883 3.4883 7.4270 90.00 90.00 90.00
Space group P4mm (No. 99)
Unique sites:
Ca  0.0000  0.0000  0.0000 [1 per cell]
Dy  0.0000  0.0000  0.5490 [1 per cell]
Ag  0.5000  0.5000  0.2837 [1 per cell]
Rh  0.5000  0.5000  0.7455 [1 per cell]

# 25
DFT (PBE) results for BaOs3F after structural relaxation.

Values from the calculation:
- N(E_F): 6.040 states/eV/f.u.
- Energy relative to the lowest polymorph listed for this composition: 1877 meV/atom
- Uncorrected formation energy: 3.67 eV per atom

Lattice parameters (Å, degrees): 5.2244 5.2244 5.2244 90.00 90.00 90.00
Space group Pm-3m (No. 221)
Unique sites:
Ba  0.0000  0.0000  0.0000 [1 per cell]
Os  0.0000  0.0000  0.5000 [3 per cell]
F  0.5000  0.5000  0.5000 [1 per cell]